NaSmSnHg (PBE, relaxed); symmetry = Pmmm; crystal system = orthorhombic; distance to the lowest polymorph of the same formula = 17 meV per atom; total energy = -3.019 eV/atom
1.0
-0.147 -2.976 2.690
4.703 1.035 1.403
-1.833 3.386 3.645
Sm Na Hg Sn
1 1 1 1
Direct
0.000 0.500 0.500
0.000 0.000 0.000
0.500 0.500 0.000
0.500 0.000 0.500

=====

AcPrNdHo (PBE, relaxed); symmetry = P3m1; crystal system = trigonal; distance to the lowest polymorph of the same formula = 0 meV per atom; total energy = -4.508 eV/atom
1.0
-2.118 -1.396 2.773
0.610 -2.031 -3.104
9.789 -4.798 5.062
Nd Pr Ac Ho
1 1 1 1
Direct
0.667 0.333 0.181
0.000 0.000 0.429
0.333 0.667 0.921
0.667 0.333 0.668

=====

KMnFePb2 (PBE, relaxed); symmetry = P4/mmm; crystal system = tetragonal; total energy = -4.346 eV/atom
1.0
-2.462 1.688 4.115
-4.651 0.853 -3.132
-1.551 -4.734 1.014
Pb K Fe Mn
2 1 1 1
Direct
0.000 0.000 0.500
0.500 0.000 0.000
0.000 0.500 0.000
0.000 0.000 0.000
0.500 0.500 0.500

=====

EuAlO3 (PBE, relaxed); raw formation energy = -2.90 eV per atom; symmetry = Pm-3m; crystal system = cubic; total energy = -8.676 eV/atom
1.0
3.769 0.000 0.000
0.000 3.769 0.000
0.000 0.000 3.769
O Al Eu
3 1 1
Direct
0.000 0.500 0.000
0.500 0.000 0.000
0.000 0.000 0.500
0.000 0.000 0.000
0.500 0.500 0.500

=====

In the order shown, the computed DOS(E_F) values come out to 1.69; 4.77; 7.09; 3.67 states/eV/f.u..